DFT (PBE) results for crystalline K2SnBr5 at its relaxed geometry.

```
data_K2SnBr5
_cell_length_a 8.0776
_cell_length_b 8.0776
_cell_length_c 9.7011
_cell_angle_alpha 90.00
_cell_angle_beta 90.00
_cell_angle_gamma 90.00
_symmetry_space_group_name_H-M 'I 4 m m'
_symmetry_Int_Tables_number 107
_symmetry_space_group_name_Hall 'I 4 -2'
loop_
_atom_site_label
_atom_site_type_symbol
_atom_site_fract_x
_atom_site_fract_y
_atom_site_fract_z
_atom_site_occupancy
K1 K 0.0000 0.5000 0.0000 1
Sn1 Sn 0.0000 0.0000 0.2471 1
Br1 Br 0.0000 0.0000 0.9828 1
Br2 Br 0.2415 0.2415 0.2724 1
```

Energy above the most stable polymorph in this dataset = 0.040 eV per atom
E_tot = -2.971 eV/atom
D(E_F) = 8.4 states/eV/cell